Zn2IrBr | PBE | optimized geometry

Cell and atoms, written as POSCAR:
```
Zn2IrBr
1.0
6.180 0.465 0.021
3.502 5.114 -0.021
-4.306 -3.717 2.460
Br Ir Zn
1 1 2
Direct
0.750 0.250 0.500
0.250 0.750 0.500
0.051 0.051 0.000
0.449 0.449 0.000
```

Values from the calculation:
Total energy, eV per atom: -2.88
Formation energy without anion corrections, eV/atom: 0.390
Distance to the lowest polymorph of the same formula, meV/atom: 470

***

TmScTlOs | PBE | optimized geometry

Cell and atoms, written as POSCAR:
```
TmScTlOs
1.0
-0.226 3.260 0.458
-2.298 0.172 -2.361
-5.708 -1.165 5.472
Tm Sc Tl Os
1 1 1 1
Direct
0.500 0.500 0.771
0.500 0.500 0.371
0.000 0.000 0.086
0.000 0.000 0.557
```

Values from the calculation:
Total energy, eV per atom: -6.49
Distance to the lowest polymorph of the same formula, meV/atom: 0

***

HfMo2OsPt | PBE | optimized geometry

Cell and atoms, written as POSCAR:
```
HfMo2OsPt
1.0
-3.343 -3.087 -1.083
-0.964 -0.618 4.739
-3.138 3.464 -0.187
Hf Mo Os Pt
1 2 1 1
Direct
0.500 0.500 0.500
0.000 0.000 0.500
0.500 0.000 0.000
0.000 0.000 0.000
0.000 0.500 0.000
```

Values from the calculation:
Total energy, eV per atom: -8.57

***

LiTcRu3 | PBE | optimized geometry

Cell and atoms, written as POSCAR:
```
LiTcRu3
1.0
-0.044 -1.867 -3.599
0.888 -3.516 1.813
-3.956 -0.769 0.447
Ru Tc Li
3 1 1
Direct
0.000 0.500 0.000
0.000 0.000 0.500
0.500 0.000 0.000
0.500 0.500 0.500
0.000 0.000 0.000
```

Values from the calculation:
Total energy, eV per atom: -7.06
Distance to the lowest polymorph of the same formula, meV/atom: 0

***

Co3ReSb | PBE | optimized geometry

Cell and atoms, written as POSCAR:
```
Co3ReSb
1.0
4.525 0.000 0.000
0.000 4.525 0.000
0.000 0.000 4.525
Re Co Sb
1 3 1
Direct
0.500 0.500 0.500
0.000 0.500 0.000
0.000 0.000 0.500
0.500 0.000 0.000
0.000 0.000 0.000
```

Values from the calculation:
Total energy, eV per atom: -5.75
Formation energy without anion corrections, eV/atom: 1.831
Distance to the lowest polymorph of the same formula, meV/atom: 554

***

ThTl2Ag | PBE | optimized geometry

Cell and atoms, written as POSCAR:
```
ThTl2Ag
1.0
-4.340 1.563 0.911
-0.015 -2.417 4.075
1.823 3.758 2.236
Tl Ag Th
2 1 1
Direct
0.000 0.000 0.500
0.000 0.500 0.000
0.500 0.000 0.000
0.500 0.500 0.500
```

Values from the calculation:
Total energy, eV per atom: -3.82

***

AcY3Sb4 | PBE | optimized geometry

Cell and atoms, written as POSCAR:
```
AcY3Sb4
1.0
-4.022 -0.999 1.763
3.270 -0.752 7.033
-0.106 6.881 3.656
Y Sb Ac
3 4 1
Direct
0.500 0.000 0.500
0.000 0.000 0.000
0.000 0.500 0.500
0.000 0.766 0.735
0.500 0.758 0.258
0.000 0.235 0.265
0.500 0.243 0.742
0.500 0.500 0.000
```

Values from the calculation:
Total energy, eV per atom: -6.15
Formation energy without anion corrections, eV/atom: -1.146

***

Na2ZrUSe4 | PBE | optimized geometry

Cell and atoms, written as POSCAR:
```
Na2ZrUSe4
1.0
-0.889 -3.355 -1.936
6.695 -1.306 -0.812
-2.167 -3.168 6.485
Na Zr U Se
2 1 1 4
Direct
0.500 0.000 0.500
0.000 0.500 0.500
0.500 0.500 0.000
0.000 0.000 0.000
0.500 0.256 0.235
0.500 0.744 0.765
0.000 0.267 0.772
0.000 0.733 0.228
```

Values from the calculation:
Total energy, eV per atom: -5.79
Formation energy without anion corrections, eV/atom: -1.237

***

AcPH3 | PBE | optimized geometry

Cell and atoms, written as POSCAR:
```
AcPH3
1.0
-2.371 -3.031 0.513
0.148 -0.759 -3.804
3.071 -2.303 0.579
P Ac H
1 1 3
Direct
0.000 0.000 0.000
0.500 0.500 0.500
0.000 0.500 0.000
0.000 0.000 0.500
0.500 0.000 0.000
```

Values from the calculation:
Total energy, eV per atom: -3.84

***

Ce3Zn4Ga2 | PBE | optimized geometry

Cell and atoms, written as POSCAR:
```
Ce3Zn4Ga2
1.0
-3.393 2.945 0.865
-1.236 -5.419 1.505
4.987 4.034 5.823
Ce Zn Ga
3 4 2
Direct
0.666 0.332 0.670
0.000 0.000 0.000
0.334 0.668 0.330
0.714 0.428 0.046
0.286 0.572 0.954
0.933 0.866 0.598
0.067 0.134 0.402
0.613 0.226 0.280
0.387 0.774 0.720
```

Values from the calculation:
Total energy, eV per atom: -3.61

***

Number 1: mass density 9.1 g/cm³. Number 2: mass density 11.6 g/cm³. Number 3: mass density 11.8 g/cm³. Number 4: mass density 10.2 g/cm³. Number 5: mass density 8.7 g/cm³. Number 6: mass density 11.8 g/cm³. Number 7: mass density 6.3 g/cm³. Number 8: mass density 5.9 g/cm³. Number 9: mass density 7.4 g/cm³. Number 10: mass density 7.2 g/cm³.